{"formula": "CaY2Pu", "functional": "GGA-PBE", "state": "relaxed", "lattice_angstrom": [[1.754, 1.013, 12.628], [-1.754, 1.013, 12.628], [0.000, -2.025, 12.628]], "species": ["Ca", "Y", "Y", "Pu"], "frac_coords": [[0.000, 0.000, 0.000], [0.415, 0.415, 0.415], [0.585, 0.585, 0.585], [0.500, 0.500, 0.500]], "n_ef_per_ev_cell": 12.9, "formation_energy_ev_per_atom": 0.3706, "relative_energy_ev_per_atom": 0.2267, "magnetic_moment_mub_per_cell": 7.434}

{"formula": "Pa3Ni2As4", "functional": "GGA-PBE", "state": "relaxed", "lattice_angstrom": [[6.308, -1.988, 0.000], [6.308, 1.988, 0.000], [-4.520, 0.000, 7.116]], "species": ["Pa", "Pa", "Pa", "Ni", "Ni", "As", "As", "As", "As"], "frac_coords": [[0.000, 0.000, 0.000], [0.370, 0.370, 0.300], [0.630, 0.630, 0.700], [0.317, 0.317, 0.625], [0.683, 0.683, 0.375], [0.083, 0.083, 0.395], [0.317, 0.317, 0.910], [0.683, 0.683, 0.090], [0.917, 0.917, 0.605]], "n_ef_per_ev_cell": 8.3, "formation_energy_ev_per_atom": -0.7987, "magnetic_moment_mub_per_cell": 1.367}

{"formula": "BC3", "functional": "GGA-PBE", "state": "relaxed", "lattice_angstrom": [[5.777, -1.299, 0.000], [5.777, 1.299, 0.000], [-1.209, 0.000, 5.044]], "species": ["B", "B", "B", "C", "C", "C", "C", "C", "C", "C", "C", "C"], "frac_coords": [[0.000, 0.000, 0.000], [0.118, 0.118, 0.712], [0.356, 0.356, 0.627], [0.014, 0.014, 0.446], [0.109, 0.109, 0.251], [0.349, 0.349, 0.131], [0.430, 0.430, 0.928], [0.436, 0.436, 0.411], [0.686, 0.686, 0.293], [0.691, 0.691, 0.799], [0.764, 0.764, 0.581], [0.769, 0.769, 0.088]], "n_ef_per_ev_cell": 1.5, "formation_energy_ev_per_atom": 0.3067, "relative_energy_ev_per_atom": 0.0661, "magnetic_moment_mub_per_cell": 0.000}

{"formula": "Ba2YTe", "functional": "GGA-PBE", "state": "relaxed", "lattice_angstrom": [[6.053, 0.000, 0.000], [0.000, 6.053, 0.000], [0.000, 0.000, 4.363]], "species": ["Ba", "Ba", "Y", "Te"], "frac_coords": [[0.000, 0.500, 0.000], [0.500, 0.000, 0.000], [0.000, 0.000, 0.500], [0.500, 0.500, 0.500]], "n_ef_per_ev_cell": 4.9, "raw_formation_energy_ev_per_atom": -0.4011, "magnetic_moment_mub_per_cell": 0.807}

{"formula": "Be2NbNiAg", "functional": "GGA-PBE", "state": "relaxed", "lattice_angstrom": [[4.481, 0.000, 0.000], [0.000, 4.481, 0.000], [0.000, 0.000, 4.518]], "species": ["Be", "Be", "Nb", "Ni", "Ag"], "frac_coords": [[0.000, 0.500, 0.000], [0.500, 0.000, 0.000], [0.000, 0.000, 0.000], [0.000, 0.000, 0.500], [0.500, 0.500, 0.500]], "n_ef_per_ev_cell": 4.5, "formation_energy_ev_per_atom": 1.4554, "relative_energy_ev_per_atom": 0.7566, "magnetic_moment_mub_per_cell": 0.432}

{"formula": "Li2CuPO4", "functional": "GGA-PBE", "state": "relaxed", "lattice_angstrom": [[5.458, 0.000, 0.000], [0.000, 4.986, 0.000], [-0.253, 0.000, 6.210]], "species": ["Li", "Li", "Li", "Li", "Cu", "Cu", "P", "P", "O", "O", "O", "O", "O", "O", "O", "O"], "frac_coords": [[0.152, 0.000, 0.252], [0.334, 0.502, 0.004], [0.666, 0.002, 0.996], [0.848, 0.500, 0.748], [0.381, 0.459, 0.507], [0.619, 0.959, 0.493], [0.161, 0.005, 0.761], [0.839, 0.505, 0.239], [0.109, 0.404, 0.234], [0.170, 0.318, 0.755], [0.272, 0.895, 0.550], [0.310, 0.902, 0.963], [0.690, 0.402, 0.037], [0.728, 0.395, 0.450], [0.830, 0.818, 0.245], [0.891, 0.904, 0.766]], "raw_formation_energy_ev_per_atom": -1.9417, "relative_energy_ev_per_atom": 0.0142, "magnetic_moment_mub_per_cell": 0.135}